{
  "formula": "SnHg7Pb12",
  "functional": "GGA-PBE",
  "state": "optimized geometry",
  "lattice": [[9.5629, 1.6755, -3.8790], [-0.1042, 8.2775, -5.2344], [-4.4345, -2.2636, 10.3019]],
  "species": ["Pb", "Pb", "Hg", "Pb", "Pb", "Pb", "Pb", "Hg", "Hg", "Pb", "Hg", "Sn", "Pb", "Pb", "Hg", "Hg", "Pb", "Pb", "Pb", "Hg"],
  "frac_coords": [[0.7438, 0.3994, 0.7851], [0.6505, 0.6673, 0.1071], [0.4316, 0.3014, 0.2924], [0.8176, 0.2992, 0.2465], [0.1824, 0.7008, 0.7535], [0.3017, 0.3139, 0.5498], [0.2562, 0.6006, 0.2149], [0.0202, 0.4167, 0.1995], [0.9724, 0.9161, 0.1996], [0.3495, 0.3327, 0.8929], [0.9798, 0.5833, 0.8005], [0.0000, 0.0000, 0.0000], [0.8488, 0.1492, 0.4791], [0.6983, 0.6861, 0.4502], [0.0276, 0.0839, 0.8004], [0.5684, 0.6986, 0.7076], [0.1512, 0.8508, 0.5209], [0.5529, 0.0478, 0.7078], [0.4471, 0.9522, 0.2922], [0.5000, 0.0000, 0.0000]],
  "sg": "P-1, No. 2",
  "volume_a3_per_atom": 29.98,
  "magnetic_moment_mub_per_atom": 0.0000,
  "e_form_kcal_per_mol_atoms": 1.2
}